Entry 1:
Ac4SiS2Br | PBE | optimized geometry

Computed properties:
Formation energy (no corrections)   -1.49 eV/atom
Total DFT energy (no corrections)   -43.71 eV per cell
Volume   30.91 Å³ per atom
Density of states at the Fermi level   0.499 states/eV/atom

Cell: 4.4251 7.6355 7.7439 Å, 70.90 90.00 90.00°
Element x y z (fractional)
1 S 0.5000 0.0000 0.5000
2 Ac 0.5000 0.7578 0.2622
3 S 0.0000 0.0000 0.0000
4 Ac 0.0000 0.2303 0.2745
5 Ac 0.5000 0.2422 0.7378
6 Ac 0.0000 0.7697 0.7255
7 Br 0.5000 0.5000 0.0000
8 Si 0.0000 0.5000 0.5000

Entry 2:
BaTi3Ga | PBE | optimized geometry

Computed properties:
Formation enthalpy at 0 K   666 meV/atom
Total DFT energy (no corrections)   -25.31 eV per cell
Volume   25.58 Å³ per atom
Density of states at the Fermi level   2.558 states/eV/atom

Cell: 5.0385 5.0385 5.0385 Å, 90.00 90.00 90.00°
Site moments in Bohr magnetons follow the coordinates.
Element x y z (fractional)
1 Ti 0.5000 0.0000 0.0000  0.82
2 Ba 0.5000 0.5000 0.5000  0.13
3 Ti 0.0000 0.0000 0.5000  1.00
4 Ti 0.0000 0.5000 0.0000  0.69
5 Ga 0.0000 0.0000 0.0000  0.05

Entry 3:
OsRu | PBE | optimized geometry

Computed properties:
Formation enthalpy at 0 K   123 meV/atom
Total DFT energy (no corrections)   -60.78 eV per cell
Volume   14.15 Å³ per atom
Density of states at the Fermi level   1.219 states/eV/atom

Cell: 2.7154 2.7154 13.2926 Å, 90.00 90.00 120.00°
Element x y z (fractional)
1 Ru 0.0000 0.0000 0.5000
2 Ru 0.6667 0.3333 0.8333
3 Os 0.6667 0.3333 0.3333
4 Os 0.0000 0.0000 0.0000
5 Os 0.3333 0.6667 0.6667
6 Ru 0.3333 0.6667 0.1667

Entry 4:
SiGeAu | PBE | optimized geometry

Computed properties:
Formation energy (no corrections)   0.13 eV/atom
Total DFT energy (no corrections)   -25.85 eV per cell
Volume   20.77 Å³ per atom
Density of states at the Fermi level   0.152 states/eV/atom

Cell: 6.0825 2.9491 7.1542 Å, 90.00 103.83 90.00°
Element x y z (fractional)
1 Si 0.6160 0.5000 0.9973
2 Ge 0.8462 0.5000 0.3246
3 Au 0.2753 0.5000 0.4170
4 Au 0.2753 0.0000 0.9170
5 Ge 0.8462 0.0000 0.8246
6 Si 0.6160 0.0000 0.4973